Arrangement P

## RbCr2Cl (PBE)

Data for crystalline RbCr2Cl at its relaxed geometry.

Cell lengths 5.6658, 5.6658, 18.1694 Å; angles 90.00, 90.00, 90.00 degrees
Last column: nearest neighbours and their distance in Å.
Space group I4_1/amd (No. 141, origin choice 2)
Symmetry-distinct sites (fractional):
1 Rb 0.0000 0.2500 0.3750 (multiplicity 4)  8 Cr 3.90, 4 Cl 4.01
2 Cr 0.0000 0.0000 0.0000 (multiplicity 8)  2 Cl 2.68, 2 Cr 2.83
3 Cl 0.0000 0.2500 0.8750 (multiplicity 4)  4 Cr 2.68

***

Arrangement Q

## RbCr2Cl (PBE)

Data for crystalline RbCr2Cl at its relaxed geometry.

Cell lengths 7.9425, 7.9425, 7.9425 Å; angles 90.00, 90.00, 90.00 degrees
Last column: nearest neighbours and their distance in Å.
Space group Fm-3m (No. 225)
Symmetry-distinct sites (fractional):
1 Rb 0.0000 0.0000 0.0000 (multiplicity 4)  8 Cr 3.44
2 Cr 0.2500 0.2500 0.2500 (multiplicity 8)  4 Rb 3.44, 4 Cl 3.44
3 Cl 0.0000 0.0000 0.5000 (multiplicity 4)  8 Cr 3.44

***

Bottom line: arrangement P, by a margin of 353 meV/atom.

***

Arrangement P

## RbCrCl6 (PBE)

Data for crystalline RbCrCl6 at its relaxed geometry.

Cell lengths 7.9337, 9.3135, 6.2056 Å; angles 90.00, 104.74, 90.00 degrees
Last column: nearest neighbours and their distance in Å.
Space group C2/m (No. 12)
Symmetry-distinct sites (fractional):
1 Rb 0.0000 0.0000 0.0000 (multiplicity 2)  12 Cl 3.56-3.59
2 Cr 0.0000 0.5000 0.5000 (multiplicity 2)  6 Cl 2.27
3 Cl 0.0953 0.3280 0.7623 (multiplicity 8)  1 Cr 2.27
4 Cl 0.2356 0.0000 0.5771 (multiplicity 4)  1 Cr 2.27

***

Arrangement Q

## RbCrCl6 (PBE)

Data for crystalline RbCrCl6 at its relaxed geometry.

Cell lengths 5.9075, 6.5069, 6.5085 Å; angles 95.82, 106.55, 106.68 degrees
Last column: nearest neighbours and their distance in Å.
Space group P-1 (No. 2)
Symmetry-distinct sites (fractional):
1 Rb 0.0000 0.0000 0.0000 (multiplicity 1)  12 Cl 3.41-3.65
2 Cr 0.0000 0.5000 0.5000 (multiplicity 1)  6 Cl 2.27-2.29
3 Cl 0.1925 0.2480 0.5783 (multiplicity 2)  1 Cr 2.27
4 Cl 0.1924 0.5779 0.2476 (multiplicity 2)  1 Cr 2.27
5 Cl 0.3316 0.7627 0.7615 (multiplicity 2)  1 Cr 2.29

***

Bottom line: arrangement Q, by a margin of 7 meV/atom.

***

Arrangement P

## RbCrCl2 (PBE)

Data for crystalline RbCrCl2 at its relaxed geometry.

Cell lengths 6.4756, 6.4756, 13.2331 Å; angles 90.00, 90.00, 90.00 degrees
Last column: nearest neighbours and their distance in Å.
Space group I-42d (No. 122)
Symmetry-distinct sites (fractional):
1 Rb 0.0000 0.0000 0.0000 (multiplicity 4)  4 Cl 3.22
2 Cr 0.0000 0.0000 0.5000 (multiplicity 4)  4 Cl 2.52
3 Cl 0.1553 0.2500 0.6250 (multiplicity 8)  2 Cr 2.52

***

Arrangement Q

## RbCrCl2 (PBE)

Data for crystalline RbCrCl2 at its relaxed geometry.

Cell lengths 7.4278, 7.4278, 7.4278 Å; angles 90.00, 90.00, 90.00 degrees
Last column: nearest neighbours and their distance in Å.
Space group Fm-3m (No. 225)
Symmetry-distinct sites (fractional):
1 Rb 0.0000 0.0000 0.0000 (multiplicity 4)  8 Cl 3.22
2 Cr 0.0000 0.0000 0.5000 (multiplicity 4)  8 Cl 3.22
3 Cl 0.2500 0.2500 0.2500 (multiplicity 8)  4 Cr 3.22, 4 Rb 3.22

***

Bottom line: arrangement P, by a margin of 258 meV/atom.

***

Arrangement P

## RbCrCl4 (PBE)

Data for crystalline RbCrCl4 at its relaxed geometry.

Cell lengths 6.3518, 6.3870, 8.9333 Å; angles 108.75, 110.68, 90.01 degrees
Last column: nearest neighbours and their distance in Å.
Space group P-1 (No. 2)
Symmetry-distinct sites (fractional):
1 Rb 0.2271 0.2510 0.0018 (multiplicity 2)  8 Cl 3.32-3.72
2 Cr 0.0000 0.5000 0.5000 (multiplicity 1)  6 Cl 2.33-2.40
3 Cr 0.5000 0.0000 0.5000 (multiplicity 1)  6 Cl 2.33-2.40
4 Cl 0.1450 0.7928 0.4375 (multiplicity 2)  2 Cr 2.39-2.40
5 Cl 0.2134 0.6554 0.7907 (multiplicity 2)  1 Cr 2.33
6 Cl 0.2932 0.2931 0.4380 (multiplicity 2)  2 Cr 2.39-2.40
7 Cl 0.4249 0.8451 0.2094 (multiplicity 2)  1 Cr 2.33

***

Arrangement Q

## RbCrCl4 (PBE)

Data for crystalline RbCrCl4 at its relaxed geometry.

Cell lengths 7.8854, 6.6065, 7.9902 Å; angles 90.00, 110.50, 90.00 degrees
Last column: nearest neighbours and their distance in Å.
Space group C2/m (No. 12)
Symmetry-distinct sites (fractional):
1 Rb 0.0000 0.0000 0.0000 (multiplicity 2)  4 Cl 3.32-3.36
2 Cr 0.0000 0.5000 0.5000 (multiplicity 2)  4 Cl 2.24-2.31
3 Cl 0.0535 0.5000 0.8029 (multiplicity 4)  1 Cr 2.31
4 Cl 0.2010 0.0000 0.4463 (multiplicity 4)  1 Cr 2.24

***

Bottom line: arrangement P, by a margin of 170 meV/atom.